An optimized crystal structure of PrTm4Zn, computed with PBE.

abc: 3.536 3.536 13.656
angles: 90.00 90.00 90.00
Sites, in units of the cell vectors:
Pr1 0.000 0.000 0.000
Tm1 0.000 0.000 0.372
Tm2 0.500 0.500 0.811
Tm3 0.500 0.500 0.189
Tm4 0.000 0.000 0.628
Zn1 0.500 0.500 0.500

ΔE_f (eV per atom): -0.092
Space-group type: P4/mmm (123)
Size of the total moment (μB per atom): 0.00
ρ (g/cm3): 8.6

An optimized crystal structure of Na2SrTeO4, computed with PBE.

abc: 7.030 7.030 7.474
angles: 121.52 121.52 81.27
Sites, in units of the cell vectors:
Te1 0.002 0.997 0.975
Te2 0.502 0.498 0.525
Na1 0.515 0.015 0.524
Na2 0.001 0.003 0.544
Na3 0.485 0.985 0.976
Na4 0.497 0.499 0.956
O1 0.326 0.309 0.523
O2 0.244 0.714 0.485
O3 0.210 0.743 0.964
O4 0.757 0.290 0.536
O5 0.786 0.256 0.015
O6 0.191 0.174 0.977
O7 0.671 0.688 0.882
O8 0.812 0.829 0.618
Sr1 0.987 0.488 0.485
Sr2 0.012 0.513 0.015

Space-group type: C2 (5)
ΔE_f (raw) (kJ/mol of atoms): -167.0
Size of the total moment (μB per atom): 0.00
ρ (g/cm3): 4.1

An optimized crystal structure of DySc3Tl4Te8, computed with PBE.

abc: 8.620 9.545 8.626
angles: 116.89 119.98 90.00
Sites, in units of the cell vectors:
Te1 0.759 0.293 0.034
Te2 0.725 0.707 0.966
Te3 0.241 0.707 0.966
Te4 0.275 0.293 0.034
Te5 0.734 0.701 0.468
Te6 0.241 0.707 0.482
Te7 0.759 0.293 0.518
Te8 0.266 0.299 0.532
Sc1 0.500 0.500 0.500
Sc2 0.500 0.500 0.000
Sc3 0.000 0.500 0.500
Tl1 0.500 0.000 0.000
Tl2 0.000 0.000 0.000
Tl3 0.500 0.000 0.500
Tl4 0.000 0.000 0.500
Dy1 0.000 0.500 0.000

Space-group type: C2/m (12)
ΔE_f (raw) (kJ/mol of atoms): -91.8
Size of the total moment (μB per atom): 0.00
ρ (g/cm3): 6.8

An optimized crystal structure of BaTbZn, computed with PBE.

abc: 3.850 3.850 7.310
angles: 105.27 105.27 90.00
Sites, in units of the cell vectors:
Tb1 0.289 0.289 0.578
Ba1 0.019 0.019 0.039
Zn1 0.692 0.692 0.383

ΔE_f (eV per atom): -0.082
E above lowest polymorph (eV/f.u.): 0.00
Space-group type: I4mm (107)
Size of the total moment (μB per atom): 0.00
ρ (g/cm3): 6.0

> The highest ρ belongs to which entry?

PrTm4Zn

> What is the size of the total moment in the fourth record?

0.00 μB per atom

> Look up the ρ of the fourth one.

6.0 g/cm3